Record 1
A PBEsol-optimized structure of FeBP2O, computed with meta-GGA SCAN.

Properties
E_form (uncorrected): 0.82 eV/atom
ΔE to the lowest computed polymorph: 699 meV/atom

a = 3.284 Å, b = 4.433 Å, c = 4.433 Å
α = 90.00°, β = 90.00°, γ = 90.00°
Element x y z (fractional)
Fe  0.000  0.000  0.000
P  0.000  0.500  0.000
P  0.000  0.000  0.500
O  0.500  0.000  0.000
B  0.500  0.500  0.500

=====

Record 2
A PBEsol-optimized structure of TbFe3B4O12, computed with meta-GGA SCAN.

Properties
E_form (uncorrected): -2.35 eV/atom

a = 5.885 Å, b = 5.885 Å, c = 5.885 Å
α = 104.60°, β = 104.60°, γ = 104.60°
Last column: magnetic moment on the atom in μB.
Element x y z (fractional)
O  0.500  0.913  0.087  0.00
B  0.062  0.938  0.500  0.01
O  0.351  0.500  0.649  0.01
O  0.031  0.778  0.632  0.01
O  0.368  0.222  0.969  0.01
Fe  0.000  0.439  0.561  0.95
O  0.778  0.632  0.031  0.01
Tb  0.000  0.000  0.000  0.02
Fe  0.439  0.561  0.000  0.95
O  0.649  0.351  0.500  0.01
B  0.938  0.500  0.062  0.01
O  0.913  0.087  0.500  0.00
O  0.500  0.649  0.351  0.01
O  0.632  0.031  0.778  0.01
O  0.087  0.500  0.913  0.00
O  0.969  0.368  0.222  0.01
B  0.500  0.062  0.938  0.01
Fe  0.561  0.000  0.439  0.95
B  0.500  0.500  0.500  0.00
O  0.222  0.969  0.368  0.01

=====

Record 3
A PBEsol-optimized structure of Zr2FeBPd, computed with meta-GGA SCAN.

Properties
Energy of formation from the pure elements: 3.381 eV/f.u.

a = 3.864 Å, b = 5.006 Å, c = 5.006 Å
α = 90.00°, β = 90.00°, γ = 90.00°
Last column: magnetic moment on the atom in μB.
Element x y z (fractional)
Zr  0.000  0.500  0.000  -0.58
B  0.500  0.000  0.000  0.04
Zr  0.000  0.000  0.500  -0.58
Fe  0.500  0.500  0.500  2.91
Pd  0.000  0.000  0.000  -0.07

=====

Record 4
A PBEsol-optimized structure of RbFeB2, computed with meta-GGA SCAN.

Properties
Energy of formation from the pure elements: 8.968 eV/f.u.

a = 4.373 Å, b = 4.373 Å, c = 4.373 Å
α = 60.00°, β = 60.00°, γ = 60.00°
Last column: magnetic moment on the atom in μB.
Element x y z (fractional)
Fe  0.000  0.000  0.000  3.06
Rb  0.500  0.500  0.500  -0.03
B  0.750  0.750  0.750  -0.14
B  0.250  0.250  0.250  -0.14

=====

Record 5
A PBEsol-optimized structure of FeRe3B, computed with meta-GGA SCAN.

Properties
Energy of formation from the pure elements: 2.053 eV/f.u.

a = 4.032 Å, b = 4.032 Å, c = 4.032 Å
α = 90.00°, β = 90.00°, γ = 90.00°
Last column: magnetic moment on the atom in μB.
Element x y z (fractional)
B  0.000  0.000  0.000  0.03
Fe  0.500  0.500  0.500  3.07
Re  0.000  0.000  0.500  -0.31
Re  0.500  0.000  0.000  -0.31
Re  0.000  0.500  0.000  -0.31

=====

Record 6
A PBEsol-optimized structure of Sc2FeB2Ru2Rh3, computed with meta-GGA SCAN.

Properties
Energy of formation from the pure elements: -7.647 eV/f.u.

a = 2.998 Å, b = 9.176 Å, c = 9.240 Å
α = 90.00°, β = 90.00°, γ = 90.00°
Last column: magnetic moment on the atom in μB.
Element x y z (fractional)
Rh  0.500  0.000  0.500  0.03
Sc  0.000  0.676  0.176  -0.07
Sc  0.000  0.176  0.324  -0.07
Ru  0.500  0.568  0.713  0.14
Rh  0.500  0.216  0.070  0.19
Fe  0.000  0.000  0.000  3.27
Sc  0.000  0.824  0.676  -0.07
Fe  0.000  0.500  0.500  3.27
B  0.000  0.379  0.130  0.00
B  0.000  0.621  0.870  0.00
Rh  0.500  0.716  0.430  0.19
Rh  0.500  0.500  0.000  0.03
Ru  0.500  0.932  0.213  0.14
Ru  0.500  0.068  0.787  0.14
Sc  0.000  0.324  0.824  -0.07
B  0.000  0.879  0.370  0.00
Rh  0.500  0.784  0.930  0.19
Ru  0.500  0.432  0.287  0.14
B  0.000  0.121  0.630  0.00
Rh  0.500  0.284  0.570  0.19

=====

| no. | magnetization (μB per formula unit) |
| --- | --- |
| 1 | 0.00 |
| 2 | 3.00 |
| 3 | 1.02 |
| 4 | 2.52 |
| 5 | 1.94 |
| 6 | 3.62 |